The following is a PBE calculation of an optimized crystal structure of Nd5Si2Br, from the Alexandria database.

Summary:
Energy relative to the elements, uncorrected (meV/atom): -600
E_tot (eV per cell): -82.3
ρ (g/cm3): 6.48

abc: 7.771 7.771 9.119
angles: 115.22 115.22 90.00
Fractional positions:
Nd  0.805  0.973  0.278
Nd  0.305  0.805  0.278
Nd  0.527  0.695  0.722
Nd  0.695  0.195  0.722
Nd  0.195  0.027  0.722
Nd  0.027  0.527  0.722
Nd  0.473  0.305  0.278
Nd  0.000  0.000  0.000
Nd  0.500  0.500  0.000
Nd  0.973  0.473  0.278
Si  0.376  0.876  0.000
Si  0.876  0.624  0.000
Si  0.124  0.376  0.000
Si  0.624  0.124  0.000
Br  0.750  0.750  0.500
Br  0.250  0.250  0.500


The following is a PBE calculation of an optimized crystal structure of Nd3SiBr3, from the Alexandria database.

Summary:
Energy relative to the elements, uncorrected (meV/atom): -1432
E_tot (eV per cell): -139.1
ρ (g/cm3): 5.35

abc: 10.418 10.418 10.418
angles: 109.47 109.47 109.47
Fractional positions:
Si  0.000  0.000  0.250
Si  0.750  0.500  0.000
Si  0.500  0.250  0.500
Si  0.750  0.250  0.250
Nd  0.522  0.261  0.011
Nd  0.989  0.239  0.478
Nd  0.250  0.011  0.489
Nd  0.511  0.489  0.750
Nd  0.761  0.750  0.239
Nd  0.761  0.011  0.022
Nd  0.250  0.239  0.261
Nd  0.989  0.750  0.011
Nd  0.739  0.478  0.489
Nd  0.978  0.489  0.239
Nd  0.511  0.022  0.261
Nd  0.739  0.261  0.750
Br  0.496  0.504  0.250
Br  0.246  0.996  0.991
Br  0.750  0.754  0.746
Br  0.004  0.754  0.509
Br  0.750  0.996  0.504
Br  0.496  0.991  0.746
Br  0.491  0.746  0.996
Br  0.004  0.250  0.996
Br  0.246  0.250  0.754
Br  0.254  0.509  0.504
Br  0.254  0.746  0.250
Br  0.009  0.504  0.754


The following is a PBE calculation of an optimized crystal structure of Nd2SiBr, from the Alexandria database.

Summary:
Energy relative to the elements, uncorrected (meV/atom): -1043
ΔE to the lowest computed polymorph (meV/atom): 36
E_tot (eV per cell): -20.8
ρ (g/cm3): 5.60

abc: 4.213 4.213 8.027
angles: 74.79 74.79 60.00
Fractional positions:
Si  0.668  0.668  0.996
Br  0.498  0.498  0.507
Nd  0.069  0.069  0.792
Nd  0.265  0.265  0.205


The following is a PBE calculation of an optimized crystal structure of Nd6SiTc2Br3, from the Alexandria database.

Summary:
Energy relative to the elements, uncorrected (meV/atom): -663
E_tot (eV per cell): -67.7
ρ (g/cm3): 6.33

abc: 7.106 7.106 8.218
angles: 98.60 98.60 118.48
Fractional positions:
Nd  0.248  0.248  0.772
Nd  0.068  0.419  0.187
Nd  0.581  0.932  0.813
Nd  0.752  0.752  0.228
Nd  0.419  0.068  0.187
Nd  0.932  0.581  0.813
Br  0.173  0.827  0.500
Br  0.500  0.500  0.500
Br  0.827  0.173  0.500
Tc  0.365  0.635  0.000
Tc  0.635  0.365  0.000
Si  0.000  0.000  0.000